Compound: Tb2InBi
Source: Alexandria via LeMat-Bulk
Functional: GGA-PBE
Structure: optimized geometry

Cell: 4.4031 4.5853 12.3145 Å, 100.73 90.00 90.00°
Positions (direct):
1 Tb 0.7500 0.6799 0.3599
2 Tb 0.2500 0.3201 0.6401
3 Tb 0.7500 0.9382 0.8765
4 Tb 0.2500 0.0618 0.1235
5 In 0.2500 0.4582 0.9165
6 In 0.7500 0.5418 0.0835
7 Bi 0.2500 0.1894 0.3787
8 Bi 0.7500 0.8106 0.6213

Output
crystal system: orthorhombic
space group: Cmcm (63)
electronic total energy: -36.89 eV/cell
E_form: -0.641 eV per atom
excess energy over the best structure of this formula in the dataset: 0.000 eV per atom